UBeCd2O6 | PBE-GGA | optimized geometry

Properties
Space-group type: C2/m (12)
Uncorrected formation energy, kcal/mol of atoms: -46.35

a b c (Å): 5.607 5.607 5.280
angles (deg): 114.53 114.53 58.53
Atoms (fractional coordinates):
U1 0.000 0.000 0.000
Be1 0.500 0.500 0.500
Cd1 0.245 0.245 0.693
Cd2 0.755 0.755 0.307
O1 0.208 0.666 0.663
O2 0.222 0.222 0.087
O3 0.334 0.792 0.337
O4 0.666 0.208 0.663
O5 0.778 0.778 0.913
O6 0.792 0.334 0.337